Entry 1:
First-principles (PBE) data for an optimized crystal structure of AlRuNO2, as listed in Alexandria.

Cell: 3.925 3.925 3.807 Å, 90.00 90.00 90.00°
Fractional positions:
Al: 0.000 0.000 0.000
Ru: 0.500 0.500 0.500
N: 0.500 0.500 0.000
O: 0.000 0.500 0.500
O: 0.500 0.000 0.500

* space group: P4/mmm
* ΔE_f (raw): -36 kJ/mol of formula units

***

Entry 2:
First-principles (PBE) data for an optimized crystal structure of CuTe2, as listed in Alexandria.

Cell: 5.407 5.407 3.028 Å, 90.00 90.00 120.00°
Fractional positions:
Cu: 0.000 0.000 0.000
Te: 0.333 0.667 0.500
Te: 0.667 0.333 0.500

* space group: P6/mmm
* ΔE_f (raw): 171 kJ/mol of formula units

***

Entry 3:
First-principles (PBE) data for an optimized crystal structure of TiNb2Co, as listed in Alexandria.

Cell: 2.820 2.820 29.112 Å, 90.00 90.00 120.00°
Fractional positions:
Ti: 0.000 0.000 0.000
Ti: 0.333 0.667 0.667
Ti: 0.667 0.333 0.333
Nb: 0.000 0.000 0.094
Nb: 0.000 0.000 0.906
Nb: 0.333 0.667 0.573
Nb: 0.333 0.667 0.760
Nb: 0.667 0.333 0.240
Nb: 0.667 0.333 0.427
Co: 0.000 0.000 0.500
Co: 0.333 0.667 0.167
Co: 0.667 0.333 0.833

* E_form: 372 meV per atom
* E above lowest polymorph: 452.4 meV/atom
* space group: R-3m

***

Entry 4:
First-principles (PBE) data for an optimized crystal structure of Cd2CuNi, as listed in Alexandria.

Cell: 2.916 2.916 26.426 Å, 90.00 90.00 120.00°
Fractional positions:
Cd: 0.000 0.000 0.248
Cd: 0.000 0.000 0.752
Cd: 0.333 0.667 0.419
Cd: 0.333 0.667 0.914
Cd: 0.667 0.333 0.086
Cd: 0.667 0.333 0.581
Cu: 0.000 0.000 0.000
Cu: 0.333 0.667 0.667
Cu: 0.667 0.333 0.333
Ni: 0.000 0.000 0.500
Ni: 0.333 0.667 0.167
Ni: 0.667 0.333 0.833

* E_form: 155 meV per atom
* E above lowest polymorph: 93.2 meV/atom
* space group: R-3m

***

DOS(E_F) (states/eV/cell)
4.7; 1.6; 15.9; 7.9
Final energy (eV for the cell shown)
-31.63; -8.61; -100.96; -33.26
Magnetic moment (μB per formula unit)
0.0; 0.0; 0.9; 0.1